# 1
# CuSeI2

CuSeI2 after structural relaxation (PBE-GGA, Alexandria via LeMat-Bulk).

Calculated values
- space-group type = No. 8
- V (Å³ per cell) = 249.5
- distance to the lowest polymorph of the same formula (meV per atom) = 0
- electronic total energy (eV/atom) = -2.705
- raw formation energy (kJ/mol of atoms) = -3.31

CIF file:
```
data_CuSeI2
_chemical_formula_sum 'Cu2 Se2 I4'
_symmetry_space_group_name_H-M 'P 1'
_symmetry_Int_Tables_number 1
_cell_length_a 9.1209
_cell_length_b 3.8686
_cell_length_c 7.3958
_cell_angle_alpha 90.00
_cell_angle_beta 107.03
_cell_angle_gamma 90.00
loop_
_symmetry_equiv_pos_as_xyz
'x,y,z'
loop_
_atom_site_label
_atom_site_type_symbol
_atom_site_fract_x
_atom_site_fract_y
_atom_site_fract_z
_atom_site_occupancy
I1 I 0.6865 0.0000 0.1038 1
I2 I 0.3013 0.0000 0.0710 1
I3 I 0.6865 0.5000 0.6038 1
I4 I 0.3013 0.5000 0.5710 1
Cu1 Cu 0.0865 0.5000 0.0177 1
Cu2 Cu 0.0865 0.0000 0.5177 1
Se1 Se 0.9811 0.5000 0.6522 1
Se2 Se 0.9811 0.0000 0.1522 1
```

# 2
# TbPrW2N6

TbPrW2N6 after structural relaxation (PBE-GGA, Alexandria via LeMat-Bulk).

Calculated values
- space-group type = No. 15
- V (Å³ per cell) = 333.1
- electronic total energy (eV/atom) = -9.470
- raw formation energy (kJ/mol of atoms) = -90.97

CIF file:
```
data_TbPrW2N6
_chemical_formula_sum 'Tb2 Pr2 W4 N12'
_symmetry_space_group_name_H-M 'P 1'
_symmetry_Int_Tables_number 1
_cell_length_a 6.4761
_cell_length_b 7.5083
_cell_length_c 7.5083
_cell_angle_alpha 81.63
_cell_angle_beta 72.99
_cell_angle_gamma 72.99
loop_
_symmetry_equiv_pos_as_xyz
'x,y,z'
loop_
_atom_site_label
_atom_site_type_symbol
_atom_site_fract_x
_atom_site_fract_y
_atom_site_fract_z
_atom_site_occupancy
N1 N 0.3355 0.2290 0.9998 1
N2 N 0.5774 0.6604 0.6413 1
N3 N 0.6444 0.1236 0.6200 1
N4 N 0.3556 0.8764 0.3800 1
N5 N 0.0774 0.6413 0.6604 1
N6 N 0.1444 0.6200 0.1236 1
N7 N 0.6645 0.7710 0.0002 1
N8 N 0.8355 0.9998 0.2290 1
N9 N 0.4226 0.3396 0.3587 1
N10 N 0.8556 0.3800 0.8764 1
N11 N 0.1645 0.0002 0.7710 1
N12 N 0.9226 0.3587 0.3396 1
Pr1 Pr 0.2500 0.9045 0.0955 1
Pr2 Pr 0.7500 0.0955 0.9045 1
Tb1 Tb 0.7500 0.7085 0.2915 1
Tb2 Tb 0.2500 0.2915 0.7085 1
W1 W 0.7852 0.6226 0.7962 1
W2 W 0.2852 0.7962 0.6226 1
W3 W 0.2148 0.3774 0.2038 1
W4 W 0.7148 0.2038 0.3774 1
```

# 3
# Ac2HPt

Ac2HPt after structural relaxation (PBE-GGA, Alexandria via LeMat-Bulk).

Calculated values
- space-group type = No. 13
- V (Å³ per cell) = 449.0
- distance to the lowest polymorph of the same formula (meV per atom) = 26
- electronic total energy (eV/atom) = -5.110

CIF file:
```
data_Ac2HPt
_chemical_formula_sum 'Ac8 H4 Pt4'
_symmetry_space_group_name_H-M 'P 1'
_symmetry_Int_Tables_number 1
_cell_length_a 6.0991
_cell_length_b 6.1224
_cell_length_c 12.0249
_cell_angle_alpha 90.08
_cell_angle_beta 90.00
_cell_angle_gamma 90.00
loop_
_symmetry_equiv_pos_as_xyz
'x,y,z'
loop_
_atom_site_label
_atom_site_type_symbol
_atom_site_fract_x
_atom_site_fract_y
_atom_site_fract_z
_atom_site_occupancy
Ac1 Ac 0.2350 0.4962 0.3759 1
Ac2 Ac 0.2477 0.5204 0.8753 1
Ac3 Ac 0.7650 0.5038 0.6241 1
Ac4 Ac 0.7650 0.9962 0.8759 1
Ac5 Ac 0.7523 0.0204 0.3753 1
Ac6 Ac 0.2477 0.9796 0.6247 1
Ac7 Ac 0.2350 0.0038 0.1241 1
Ac8 Ac 0.7523 0.4796 0.1247 1
H1 H 0.2128 0.9603 0.8769 1
H2 H 0.7872 0.4603 0.3769 1
H3 H 0.2128 0.5397 0.6231 1
H4 H 0.7872 0.0397 0.1231 1
Pt1 Pt 0.2510 0.9965 0.3746 1
Pt2 Pt 0.7490 0.4965 0.8746 1
Pt3 Pt 0.2510 0.5035 0.1254 1
Pt4 Pt 0.7490 0.0035 0.6254 1
```

# 4
# HfGaFe

HfGaFe after structural relaxation (PBE-GGA, Alexandria via LeMat-Bulk).

Calculated values
- DFT formation energy (eV per atom) = -0.253
- space-group type = No. 107
- V (Å³ per cell) = 46.9
- electronic total energy (eV/atom) = -7.401

CIF file:
```
data_HfGaFe
_chemical_formula_sum 'Hf1 Ga1 Fe1'
_symmetry_space_group_name_H-M 'P 1'
_symmetry_Int_Tables_number 1
_cell_length_a 3.2246
_cell_length_b 3.2246
_cell_length_c 5.0501
_cell_angle_alpha 108.62
_cell_angle_beta 108.62
_cell_angle_gamma 90.00
loop_
_symmetry_equiv_pos_as_xyz
'x,y,z'
loop_
_atom_site_label
_atom_site_type_symbol
_atom_site_fract_x
_atom_site_fract_y
_atom_site_fract_z
_atom_site_occupancy
Ga1 Ga 0.3014 0.3014 0.6027 1
Hf1 Hf 0.6077 0.6077 0.2154 1
Fe1 Fe 0.9409 0.9409 0.8819 1
```